# 1
A plane-wave DFT calculation with GGA-PBE was carried out for an optimized crystal structure of LuTiIrAu.

Structure (POSCAR):
```
LuTiIrAu
1.0
-2.258 -4.078 0.551
2.423 -3.926 0.867
-0.221 -2.006 4.237
Ti Lu Au Ir
1 1 1 1
Direct
0.750 0.750 0.750 Ti
0.250 0.250 0.250 Lu
0.500 0.500 0.500 Au
0.000 0.000 0.000 Ir
```

Output
SG: F-43m
E_form: -0.623 eV/atom
Magnetization: 0.00 μB/f.u.
Density: 13.90 Mg/m³
Energy: -6.76 eV per atom

---

# 2
A plane-wave DFT calculation with GGA-PBE was carried out for an optimized crystal structure of PrThMg4.

Structure (POSCAR):
```
PrThMg4
1.0
-5.338 1.242 2.671
-2.215 -3.744 4.273
-0.151 1.778 5.830
Mg Pr Th
4 1 1
Direct
0.625 0.625 0.625 Mg
0.625 0.625 0.125 Mg
0.625 0.125 0.625 Mg
0.125 0.625 0.625 Mg
0.250 0.250 0.250 Pr
0.000 0.000 0.000 Th
```

Output
SG: F-43m
E_form: -0.035 eV/atom
Magnetization: 0.00 μB/f.u.
Density: 4.87 Mg/m³
Energy: -3.13 eV per atom

---

# 3
A plane-wave DFT calculation with GGA-PBE was carried out for an optimized crystal structure of ReNiMo.

Structure (POSCAR):
```
ReNiMo
1.0
-1.509 -2.138 -5.753
-2.443 -4.009 -4.110
-2.303 1.213 -0.550
Re Ni Mo
1 1 1
Direct
0.324 0.324 0.676 Re
0.669 0.669 0.331 Ni
0.007 0.007 0.993 Mo
```

Output
SG: Fmm2
E_form: 0.118 eV/atom
Magnetization: 0.00 μB/f.u.
Density: 13.49 Mg/m³
Energy: -9.57 eV per atom
Offset from the most stable computed form: 0.1285 eV/atom

---

# 4
A plane-wave DFT calculation with GGA-PBE was carried out for an optimized crystal structure of K2Na2Sm4Ta2O13.

Structure (POSCAR):
```
K2Na2Sm4Ta2O13
1.0
12.585 0.018 -0.030
11.285 5.572 -0.030
4.901 1.148 10.149
Sm O Ta K Na
8 26 4 4 4
Direct
0.025 0.100 0.827 Sm
0.484 0.390 0.950 Sm
0.900 0.975 0.673 Sm
0.100 0.025 0.327 Sm
0.390 0.484 0.450 Sm
0.610 0.516 0.550 Sm
0.516 0.610 0.050 Sm
0.975 0.900 0.173 Sm
0.328 0.203 0.374 O
0.758 0.242 0.750 O
0.797 0.672 0.126 O
0.751 0.247 0.477 O
0.097 0.641 0.639 O
0.242 0.758 0.250 O
0.563 0.179 0.638 O
0.753 0.249 0.023 O
0.672 0.797 0.626 O
0.168 0.629 0.841 O
0.629 0.168 0.341 O
0.359 0.903 0.861 O
0.832 0.371 0.159 O
0.247 0.751 0.977 O
0.249 0.753 0.523 O
0.409 0.860 0.123 O
0.641 0.097 0.139 O
0.179 0.563 0.138 O
0.371 0.832 0.659 O
0.860 0.409 0.623 O
0.203 0.328 0.874 O
0.437 0.821 0.362 O
0.591 0.140 0.877 O
0.821 0.437 0.862 O
0.140 0.591 0.377 O
0.903 0.359 0.361 O
0.383 0.316 0.281 Ta
0.316 0.383 0.781 Ta
0.684 0.617 0.219 Ta
0.617 0.684 0.719 Ta
0.302 0.200 0.131 K
0.698 0.800 0.869 K
0.200 0.302 0.631 K
0.800 0.698 0.369 K
0.877 0.803 0.024 Na
0.197 0.123 0.476 Na
0.803 0.877 0.524 Na
0.123 0.197 0.976 Na
```

Output
SG: C2/c
Magnetization: 0.00 μB/f.u.
Uncorrected formation energy: -2898.7 meV/atom
Density: 6.06 Mg/m³
Energy: -7.76 eV per atom

---

# 5
A plane-wave DFT calculation with GGA-PBE was carried out for an optimized crystal structure of Be2SnPt2.

Structure (POSCAR):
```
Be2SnPt2
1.0
-3.772 0.053 1.132
-1.055 -1.604 -3.439
-1.889 -5.321 0.806
Be Sn Pt
2 1 2
Direct
0.375 0.375 0.250 Be
0.625 0.625 0.750 Be
0.000 0.000 0.000 Sn
0.750 0.250 0.500 Pt
0.250 0.750 0.500 Pt
```

Output
SG: I4/mmm
E_form: -0.279 eV/atom
Magnetization: 0.00 μB/f.u.
Density: 11.33 Mg/m³
Energy: -4.99 eV per atom
Offset from the most stable computed form: 0.2030 eV/atom

---

# 6
A plane-wave DFT calculation with GGA-PBE was carried out for an optimized crystal structure of RbTeI2F.

Structure (POSCAR):
```
RbTeI2F
1.0
-1.224 2.060 5.857
4.565 -3.748 2.272
3.071 3.403 -0.556
F Te I Rb
1 1 2 1
Direct
0.000 0.000 0.500 F
0.000 0.000 0.000 Te
0.500 0.000 0.000 I
0.000 0.500 0.000 I
0.500 0.500 0.500 Rb
```

Output
SG: P4/mmm
Magnetization: 0.00 μB/f.u.
Uncorrected formation energy: -1028.8 meV/atom
Density: 4.36 Mg/m³
Energy: -2.84 eV per atom
Offset from the most stable computed form: 0.0000 eV/atom

---

# 7
A plane-wave DFT calculation with GGA-PBE was carried out for an optimized crystal structure of PmSc4Pd4.

Structure (POSCAR):
```
PmSc4Pd4
1.0
5.413 0.000 0.000
0.000 8.797 0.000
0.000 0.000 8.797
Sc Pd Pm
8 8 2
Direct
0.412 0.341 0.898 Sc
0.412 0.659 0.102 Sc
0.088 0.159 0.602 Sc
0.912 0.398 0.159 Sc
0.088 0.841 0.398 Sc
0.588 0.102 0.341 Sc
0.912 0.602 0.841 Sc
0.588 0.898 0.659 Sc
0.916 0.701 0.138 Pd
0.416 0.362 0.201 Pd
0.584 0.201 0.638 Pd
0.084 0.138 0.299 Pd
0.584 0.799 0.362 Pd
0.916 0.299 0.862 Pd
0.084 0.862 0.701 Pd
0.416 0.638 0.799 Pd
0.500 0.500 0.500 Pm
0.000 0.000 0.000 Pm
```

Output
SG: P4_2/n
E_form: -0.602 eV/atom
Magnetization: 0.00 μB/f.u.
Density: 5.95 Mg/m³
Energy: -6.25 eV per atom

---

# 8
A plane-wave DFT calculation with GGA-PBE was carried out for an optimized crystal structure of Ba3Na2Bi4.

Structure (POSCAR):
```
Ba3Na2Bi4
1.0
5.257 0.000 0.000
-2.628 6.838 -0.157
0.000 -2.987 9.723
Bi Ba Na
4 3 2
Direct
0.284 0.569 0.939 Bi
0.716 0.431 0.061 Bi
0.077 0.154 0.391 Bi
0.923 0.846 0.609 Bi
0.382 0.764 0.312 Ba
0.618 0.236 0.688 Ba
0.000 0.000 0.000 Ba
0.305 0.609 0.635 Na
0.695 0.391 0.365 Na
```

Output
SG: C2/m
E_form: -0.667 eV/atom
Magnetization: 0.00 μB/f.u.
Density: 6.19 Mg/m³
Energy: -3.33 eV per atom